# 1
Computed, not measured: crystalline Pm2Sm3Y6 at its relaxed geometry at the GGA-PBE level of DFT.

Lattice parameters (Å, degrees): 32.237 32.237 32.237 6.41 6.41 6.41
Sites, in units of the cell vectors:
Pm 0.045 0.045 0.045
Pm 0.955 0.955 0.955
Sm 0.227 0.227 0.227
Sm 0.500 0.500 0.500
Sm 0.773 0.773 0.773
Y 0.136 0.136 0.136
Y 0.318 0.318 0.318
Y 0.409 0.409 0.409
Y 0.591 0.591 0.591
Y 0.682 0.682 0.682
Y 0.864 0.864 0.864

Summary:
crystal system = trigonal
energy of formation = 0.014 eV/atom
M_tot = 0.0 μB per formula unit
energy above the lowest structure with this stoichiometry = 0 meV/atom
E_tot = -5.663 eV per atom
space group = R-3m

=====

# 2
Computed, not measured: crystalline LaHf2MgB at its relaxed geometry at the GGA-PBE level of DFT.

Lattice parameters (Å, degrees): 5.219 5.219 5.534 90.00 90.00 90.00
Sites, in units of the cell vectors:
La 0.000 0.000 0.000
Hf 0.000 0.500 0.000
Hf 0.500 0.000 0.000
Mg 0.000 0.000 0.500
B 0.500 0.500 0.500

Summary:
crystal system = tetragonal
energy of formation = 2.412 eV/atom
M_tot = 0.0 μB per formula unit
E_tot = -4.209 eV per atom
space group = P4/mmm

=====

# 3
Computed, not measured: crystalline CaDy4Hg4 at its relaxed geometry at the GGA-PBE level of DFT.

Lattice parameters (Å, degrees): 9.815 9.815 5.950 90.00 90.00 90.00
Sites, in units of the cell vectors:
Ca 0.250 0.250 0.250
Ca 0.750 0.750 0.750
Dy 0.097 0.657 0.163
Dy 0.157 0.903 0.663
Dy 0.343 0.597 0.663
Dy 0.403 0.843 0.163
Dy 0.597 0.157 0.837
Dy 0.657 0.403 0.337
Dy 0.843 0.097 0.337
Dy 0.903 0.343 0.837
Hg 0.030 0.609 0.667
Hg 0.109 0.970 0.167
Hg 0.391 0.530 0.167
Hg 0.470 0.891 0.667
Hg 0.530 0.109 0.333
Hg 0.609 0.470 0.833
Hg 0.891 0.030 0.833
Hg 0.970 0.391 0.333

Summary:
crystal system = tetragonal
energy of formation = -0.239 eV/atom
M_tot = 0.0 μB per formula unit
E_tot = -2.641 eV per atom
space group = P4_2/n

=====

# 4
Computed, not measured: crystalline RbLi2Sn at its relaxed geometry at the GGA-PBE level of DFT.

Lattice parameters (Å, degrees): 10.230 10.230 10.230 147.96 147.96 45.94
Sites, in units of the cell vectors:
Rb 0.375 0.625 0.750
Rb 0.625 0.375 0.250
Li 0.000 0.000 0.000
Li 0.000 0.000 0.500
Li 0.000 0.500 0.000
Li 0.500 0.000 0.500
Sn 0.125 0.875 0.250
Sn 0.875 0.125 0.750

Summary:
crystal system = tetragonal
energy of formation = -0.013 eV/atom
M_tot = 0.0 μB per formula unit
E_tot = -2.212 eV per atom
space group = I4_1/amd